The following is a PBE calculation of an optimized crystal structure of CeSm6Tm2, from the Alexandria database.

Summary:
Calculated formation energy (meV per atom): 241
Magnetic moment (μB per atom): 0.13
Space group: P2_1/c (14)

Geometry as extended XYZ:
```
18
Lattice="8.701 0.000 0.000 0.000 6.049 -1.296 0.000 -1.087 11.889" Properties=species:S:1:pos:R:3 pbc="T T T"
Sm 7.558 0.409 9.314
Sm 5.494 3.977 2.722
Sm 2.918 0.318 4.577
Sm 1.143 4.553 1.279
Tm 8.520 2.899 6.987
Sm 3.207 0.985 7.871
Sm 7.127 3.816 10.462
Sm 5.925 1.335 5.166
Tm 4.170 4.544 8.903
Sm 1.574 1.146 0.131
Sm 2.777 3.627 5.428
Ce 0.000 -0.544 5.944
Tm 4.532 0.418 1.690
Sm 1.433 2.800 9.873
Sm 7.269 2.163 0.720
Tm 0.181 2.063 3.606
Sm 5.783 4.644 6.016
Ce 4.351 3.025 -0.648
```

***

The following is a PBE calculation of an optimized crystal structure of ZrAs3I, from the Alexandria database.

Summary:
Formation energy without anion corrections (eV/atom): 0.232
Magnetic moment (μB per atom): 0.00
Relative energy among the computed polymorphs (meV/atom): 0.0
Space group: Pm-3m (221)

Geometry as extended XYZ:
```
5
Lattice="-0.740 -0.504 -5.175 -0.667 -5.175 0.599 -5.157 0.742 0.665" Properties=species:S:1:pos:R:3 pbc="T T T"
As -0.334 -2.588 0.300
As -2.578 0.371 0.332
Zr 0.000 0.000 0.000
I -3.282 -2.468 -1.956
As -0.370 -0.252 -2.588
```

***

The following is a PBE calculation of an optimized crystal structure of DyPuZr2P4, from the Alexandria database.

Summary:
Calculated formation energy (meV per atom): -1409
Magnetic moment (μB per atom): 0.66
Space group: P2/m (10)

Geometry as extended XYZ:
```
8
Lattice="-1.504 2.178 -2.800 -5.019 -4.325 -0.668 -1.682 4.667 4.533" Properties=species:S:1:pos:R:3 pbc="T T T"
Dy -3.261 -1.073 -1.734
Zr -3.350 0.171 1.933
Zr -1.593 3.423 0.866
P -2.462 1.221 -0.379
P -2.465 2.381 3.175
P -4.235 -2.038 0.690
Pu 0.000 0.000 0.000
P -5.742 1.300 1.444
```

***

The following is a PBE calculation of an optimized crystal structure of PmZr2Mo, from the Alexandria database.

Summary:
Calculated formation energy (meV per atom): 81
Magnetic moment (μB per atom): 0.00
Relative energy among the computed polymorphs (meV/atom): 0.0
Space group: P4/mmm (123)

Geometry as extended XYZ:
```
4
Lattice="-3.235 0.839 0.749 -0.468 -3.078 1.427 2.389 2.909 7.060" Properties=species:S:1:pos:R:3 pbc="T T T"
Zr 1.925 2.345 5.689
Zr 0.464 0.565 1.371
Pm -0.657 0.335 4.618
Mo -1.852 -1.120 1.088
```

***

The following is a PBE calculation of an optimized crystal structure of Ti2TlCrRh, from the Alexandria database.

Summary:
Calculated formation energy (meV per atom): 428
Magnetic moment (μB per atom): 0.00
Space group: P4/mmm (123)

Geometry as extended XYZ:
```
5
Lattice="4.517 0.000 0.000 0.000 4.556 0.000 0.000 0.000 4.517" Properties=species:S:1:pos:R:3 pbc="T T T"
Cr 0.000 0.000 0.000
Rh 0.000 2.278 0.000
Tl 2.259 2.278 2.259
Ti 2.259 0.000 0.000
Ti 0.000 0.000 2.259
```

***

The following is a PBE calculation of an optimized crystal structure of GeS3Cl2, from the Alexandria database.

Summary:
Formation energy without anion corrections (eV/atom): -0.345
Magnetic moment (μB per atom): 0.00
Space group: P-1 (2)

Geometry as extended XYZ:
```
12
Lattice="4.361 0.747 0.936 0.061 11.038 -0.039 2.516 0.969 9.051" Properties=species:S:1:pos:R:3 pbc="T T T"
S 1.325 4.181 3.871
S 5.147 8.064 4.129
Cl 0.634 2.734 0.348
Ge 3.330 11.130 1.046
S 2.077 5.760 2.762
Cl 4.069 1.577 6.772
Cl 6.303 10.021 9.600
S 5.612 8.574 6.078
S 1.791 4.690 5.819
Ge 3.608 1.625 8.902
Cl 2.868 11.178 3.176
S 4.860 6.995 7.186
```

***

The following is a PBE calculation of an optimized crystal structure of AcPu2Pb, from the Alexandria database.

Summary:
Calculated formation energy (meV per atom): -68
Magnetic moment (μB per atom): 3.19
Relative energy among the computed polymorphs (meV/atom): 0.0
Space group: P4/mmm (123)

Geometry as extended XYZ:
```
4
Lattice="-2.194 -2.123 -4.240 1.786 -4.358 1.257 -4.048 -0.921 2.556" Properties=species:S:1:pos:R:3 pbc="T T T"
Pb -1.097 -1.061 -2.120
Ac -2.228 -3.701 -0.214
Pu 0.893 -2.179 0.629
Pu -2.024 -0.461 1.278
```

***

The following is a PBE calculation of an optimized crystal structure of Ta2NiRh2, from the Alexandria database.

Summary:
Calculated formation energy (meV per atom): -201
Magnetic moment (μB per atom): 0.00
Space group: P4/mbm (127)

Geometry as extended XYZ:
```
10
Lattice="7.255 0.000 0.000 0.000 7.255 0.000 0.000 0.000 3.069" Properties=species:S:1:pos:R:3 pbc="T T T"
Rh 2.650 6.278 0.000
Rh 4.605 0.977 0.000
Rh 6.278 4.605 0.000
Rh 0.977 2.650 0.000
Ta 2.400 1.227 1.535
Ni 0.000 0.000 0.000
Ni 3.627 3.627 0.000
Ta 4.855 6.028 1.535
Ta 6.028 2.400 1.535
Ta 1.227 4.855 1.535
```

***

The following is a PBE calculation of an optimized crystal structure of SiW2, from the Alexandria database.

Summary:
Formation energy without anion corrections (eV/atom): 0.810
Magnetic moment (μB per atom): 0.00
Relative energy among the computed polymorphs (meV/atom): 960.4
Space group: Pnnm (58)

Geometry as extended XYZ:
```
6
Lattice="3.450 0.000 0.000 0.000 5.071 0.000 0.000 0.000 5.894" Properties=species:S:1:pos:R:3 pbc="T T T"
W 0.000 1.051 3.711
W 1.725 3.586 5.130
Si 0.000 0.000 0.000
W 1.725 1.484 0.764
W 0.000 4.020 2.183
Si 1.725 2.535 2.947
```

***

The following is a PBE calculation of an optimized crystal structure of RbLa2US5, from the Alexandria database.

Summary:
Formation energy without anion corrections (eV/atom): -1.756
Magnetic moment (μB per atom): 0.30
Space group: Immm (71)

Geometry as extended XYZ:
```
9
Lattice="-3.525 -3.593 -0.699 2.311 -3.447 6.065 -3.972 7.259 1.187" Properties=species:S:1:pos:R:3 pbc="T T T"
La -3.307 -1.315 4.965
S -2.592 1.702 4.323
S 0.000 0.000 0.000
Rb 1.155 -1.723 3.033
S -1.365 -3.316 5.457
U -1.762 -1.797 -0.349
S -3.821 3.536 1.096
La -1.879 1.535 1.588
S -2.594 -1.482 2.230
```

***

The following is a PBE calculation of an optimized crystal structure of Dy3Al4Ge2, from the Alexandria database.

Summary:
Calculated formation energy (meV per atom): -543
Magnetic moment (μB per atom): 0.00
Space group: C2/m (12)

Geometry as extended XYZ:
```
9
Lattice="4.271 0.000 0.000 -2.135 5.290 -1.371 0.000 -0.012 8.440" Properties=species:S:1:pos:R:3 pbc="T T T"
Ge 0.000 4.095 5.026
Ge 2.135 1.183 2.044
Al 0.000 0.489 3.087
Dy 2.135 1.777 5.134
Dy 0.000 0.000 0.000
Al 2.135 2.442 -0.093
Al 2.135 4.789 3.983
Al 0.000 2.836 7.163
Dy 0.000 3.501 1.936
```

***

The following is a PBE calculation of an optimized crystal structure of Ca2PH, from the Alexandria database.

Summary:
Magnetic moment (μB per atom): 0.00
Relative energy among the computed polymorphs (meV/atom): 288.9
Space group: I-42d (122)

Geometry as extended XYZ:
```
8
Lattice="5.593 0.000 0.000 0.000 5.593 0.000 2.796 2.796 6.550" Properties=species:S:1:pos:R:3 pbc="T T T"
Ca 6.991 6.772 4.912
P 5.593 2.796 3.275
H 2.796 2.796 0.000
Ca 1.617 4.194 1.637
Ca 3.975 1.398 1.637
H 2.796 5.593 3.275
Ca 4.194 4.414 4.912
P 0.000 0.000 0.000
```

***

The following is a PBE calculation of an optimized crystal structure of BaHoSn2, from the Alexandria database.

Summary:
Calculated formation energy (meV per atom): -615
Magnetic moment (μB per atom): 0.00
Relative energy among the computed polymorphs (meV/atom): 0.0
Space group: P4/mmm (123)

Geometry as extended XYZ:
```
4
Lattice="-1.244 -3.074 -2.414 3.655 -0.017 -1.861 2.567 -5.034 5.087" Properties=species:S:1:pos:R:3 pbc="T T T"
Ho 1.206 -1.545 -2.138
Sn 0.506 -0.992 1.003
Ba 2.489 -4.062 0.405
Sn 2.061 -4.041 4.084
```

***

The following is a PBE calculation of an optimized crystal structure of CoBSe2Br, from the Alexandria database.

Summary:
Formation energy without anion corrections (eV/atom): 1.076
Magnetic moment (μB per atom): 0.42
Relative energy among the computed polymorphs (meV/atom): 59.3
Space group: P4/mmm (123)

Geometry as extended XYZ:
```
5
Lattice="4.590 0.000 0.000 0.000 4.590 0.000 0.000 0.000 5.249" Properties=species:S:1:pos:R:3 pbc="T T T"
Se 2.295 0.000 0.000
B 2.295 2.295 2.625
Br 0.000 0.000 2.625
Se 0.000 2.295 0.000
Co 0.000 0.000 0.000
```

***

The following is a PBE calculation of an optimized crystal structure of AlZn2Fe, from the Alexandria database.

Summary:
Calculated formation energy (meV per atom): -78
Magnetic moment (μB per atom): 0.25
Space group: I-4m2 (119)

Geometry as extended XYZ:
```
4
Lattice="4.725 -0.001 -0.011 1.885 4.333 0.011 -3.300 -2.174 2.591" Properties=species:S:1:pos:R:3 pbc="T T T"
Zn 2.366 -0.005 1.290
Al 3.306 2.166 0.000
Zn 6.610 4.331 0.000
Fe 0.945 2.162 1.301
```

***

The following is a PBE calculation of an optimized crystal structure of AsP2Ru, from the Alexandria database.

Summary:
Calculated formation energy (meV per atom): 424
Magnetic moment (μB per atom): 0.00
Space group: I-4m2 (119)

Geometry as extended XYZ:
```
4
Lattice="4.561 0.020 0.000 0.879 4.476 0.000 -2.720 -2.248 2.890" Properties=species:S:1:pos:R:3 pbc="T T T"
As 2.281 0.010 1.445
P 0.000 0.000 0.000
Ru 2.720 2.248 0.000
P 0.440 2.238 1.445
```

***

The following is a PBE calculation of an optimized crystal structure of MnBe2Tl, from the Alexandria database.

Summary:
Calculated formation energy (meV per atom): 582
Magnetic moment (μB per atom): 0.78
Relative energy among the computed polymorphs (meV/atom): 192.7
Space group: Fm-3m (225)

Geometry as extended XYZ:
```
4
Lattice="-2.900 -1.187 2.838 -3.487 2.325 0.558 -3.748 -1.467 -1.295" Properties=species:S:1:pos:R:3 pbc="T T T"
Be -2.534 -0.082 0.525
Be -7.602 -0.247 1.576
Mn 0.000 0.000 0.000
Tl -5.068 -0.165 1.051
```

***

The following is a PBE calculation of an optimized crystal structure of KBaSeN2, from the Alexandria database.

Summary:
Formation energy without anion corrections (eV/atom): 0.807
Magnetic moment (μB per atom): 0.93
Relative energy among the computed polymorphs (meV/atom): 0.0
Space group: P4/mmm (123)

Geometry as extended XYZ:
```
5
Lattice="-3.726 3.820 0.430 -2.471 -1.922 -4.342 -3.469 -3.794 3.653" Properties=species:S:1:pos:R:3 pbc="T T T"
N -1.236 -0.961 -2.171
N -1.863 1.910 0.215
Se -1.734 -1.897 1.827
K -4.833 -0.948 -0.130
Ba 0.000 0.000 0.000
```

***

The following is a PBE calculation of an optimized crystal structure of PrSc2Hg, from the Alexandria database.

Summary:
Calculated formation energy (meV per atom): -188
Magnetic moment (μB per atom): 0.00
Relative energy among the computed polymorphs (meV/atom): 0.0
Space group: P4/mmm (123)

Geometry as extended XYZ:
```
4
Lattice="-3.402 -0.303 -0.703 0.369 -3.455 -0.295 -1.644 -0.887 8.343" Properties=species:S:1:pos:R:3 pbc="T T T"
Pr -2.339 -2.323 3.673
Sc -1.298 -0.700 6.583
Sc -0.347 -0.187 1.759
Hg -1.517 -1.879 -0.499
```

***

The following is a PBE calculation of an optimized crystal structure of BaAl4Ru, from the Alexandria database.

Summary:
Calculated formation energy (meV per atom): 227
Magnetic moment (μB per atom): 0.17
Space group: F-43m (216)

Geometry as extended XYZ:
```
6
Lattice="0.000 3.925 3.925 3.925 0.000 3.925 3.925 3.925 0.000" Properties=species:S:1:pos:R:3 pbc="T T T"
Al 2.938 2.938 2.938
Al 2.938 4.912 4.912
Ru 0.000 0.000 0.000
Ba 5.887 5.887 5.887
Al 4.912 2.938 4.912
Al 4.912 4.912 2.938
```